Entry 1:
Material: Mg2InCuPb
Method: DFT, PBE-GGA
State: relaxed Values from VASP.

Quantum ESPRESSO input file:
```
&SYSTEM
  ibrav = 0, nat = 5, ntyp = 4
/
ATOMIC_SPECIES
Pb 207.20 Pb.upf
Mg 24.30 Mg.upf
Cu 63.55 Cu.upf
In 114.82 In.upf
CELL_PARAMETERS angstrom
5.019 0.000 0.000
0.000 5.019 0.000
0.000 0.000 4.931
ATOMIC_POSITIONS angstrom
Pb 2.509 2.509 2.465
Mg 0.000 2.509 0.000
Mg 2.509 0.000 0.000
Cu 0.000 0.000 0.000
In 0.000 0.000 2.465
```

Energy relative to the elements, meV/atom: 85
Energy, eV for the cell shown: -13.3
Magnetization, Bohr magnetons per cell: 0.00

=====

Entry 2:
Material: Mg2InCu2Pd5
Method: DFT, PBE-GGA
State: relaxed Values from VASP.

Quantum ESPRESSO input file:
```
&SYSTEM
  ibrav = 0, nat = 20, ntyp = 4
/
ATOMIC_SPECIES
Mg 24.30 Mg.upf
In 114.82 In.upf
Cu 63.55 Cu.upf
Pd 106.42 Pd.upf
CELL_PARAMETERS angstrom
3.919 0.000 0.000
0.000 9.171 0.000
0.000 0.000 9.171
ATOMIC_POSITIONS angstrom
Mg 0.000 6.141 1.555
Mg 0.000 3.030 7.615
Mg 0.000 1.555 3.030
Mg 0.000 7.615 6.141
In 0.000 0.000 0.000
In 0.000 4.585 4.585
Cu 0.000 1.147 5.732
Cu 0.000 8.024 3.439
Cu 0.000 5.732 8.024
Cu 0.000 3.439 1.147
Pd 1.960 1.848 0.734
Pd 1.960 7.323 8.437
Pd 1.960 0.734 7.323
Pd 1.960 6.434 3.852
Pd 1.960 8.437 1.848
Pd 1.960 2.737 5.319
Pd 1.960 5.319 6.434
Pd 1.960 3.852 2.737
Pd 1.960 4.585 0.000
Pd 1.960 0.000 4.585
```

Energy relative to the elements, meV/atom: -399
Energy, eV for the cell shown: -88.1
Magnetization, Bohr magnetons per cell: 0.00

=====

Entry 3:
Material: Mg5In2CuPd2
Method: DFT, PBE-GGA
State: relaxed Values from VASP.

Quantum ESPRESSO input file:
```
&SYSTEM
  ibrav = 0, nat = 20, ntyp = 4
/
ATOMIC_SPECIES
Mg 24.30 Mg.upf
In 114.82 In.upf
Cu 63.55 Cu.upf
Pd 106.42 Pd.upf
CELL_PARAMETERS angstrom
-1.170 3.083 0.086
-6.018 -2.530 8.777
8.269 2.956 6.522
ATOMIC_POSITIONS angstrom
Mg -1.303 1.211 2.099
Mg 2.384 2.298 13.287
Mg 5.754 3.787 5.777
Mg -1.076 1.104 9.041
Mg -4.674 -0.278 9.608
Mg 2.156 2.406 6.345
Mg 1.817 2.191 9.434
Mg -0.737 1.319 5.952
Mg -3.594 0.277 4.432
Mg 3.549 3.020 3.304
In -2.613 -1.190 7.084
In 4.863 1.616 8.215
In 1.617 0.511 3.658
In 0.634 -0.085 11.641
Cu 0.000 0.000 0.000
Cu 1.125 0.213 7.650
Pd 4.439 1.536 5.332
Pd -2.189 -1.109 9.968
Pd 3.326 0.949 11.216
Pd -1.076 -0.522 4.083
```

Energy relative to the elements, meV/atom: -310
Energy, eV for the cell shown: -62.1
Magnetization, Bohr magnetons per cell: 0.00

=====

Entry 4:
Material: Mg3In3CuPd2
Method: DFT, PBE-GGA
State: relaxed Values from VASP.

Quantum ESPRESSO input file:
```
&SYSTEM
  ibrav = 0, nat = 9, ntyp = 4
/
ATOMIC_SPECIES
Mg 24.30 Mg.upf
In 114.82 In.upf
Cu 63.55 Cu.upf
Pd 106.42 Pd.upf
CELL_PARAMETERS angstrom
-1.570 2.816 -0.339
-4.145 -1.539 6.409
6.755 3.832 0.559
ATOMIC_POSITIONS angstrom
Mg 1.595 1.402 4.259
Mg 2.626 1.490 0.217
Mg -1.611 -0.598 2.492
In -3.760 0.303 4.431
In 4.064 4.159 0.232
In -0.048 2.055 1.797
Cu 0.000 0.000 0.000
Pd -1.296 1.660 4.289
Pd 2.337 3.450 2.339
```

Energy relative to the elements, meV/atom: -359
Energy, eV for the cell shown: -30.7
Magnetization, Bohr magnetons per cell: 0.00

=====

Entry 5:
Material: PmMgInCu
Method: DFT, PBE-GGA
State: relaxed Values from VASP.

Quantum ESPRESSO input file:
```
&SYSTEM
  ibrav = 0, nat = 4, ntyp = 4
/
ATOMIC_SPECIES
Mg 24.30 Mg.upf
In 114.82 In.upf
Cu 63.55 Cu.upf
Pm 145.00 Pm.upf
CELL_PARAMETERS angstrom
-4.570 1.876 -0.905
-4.066 -2.882 0.621
-3.150 0.888 3.810
ATOMIC_POSITIONS angstrom
Mg 0.000 0.000 0.000
In -8.839 -0.088 2.644
Cu -2.946 -0.029 0.881
Pm -5.893 -0.059 1.763
```

Energy relative to the elements, meV/atom: -263
Energy, eV for the cell shown: -14.2
Magnetization, Bohr magnetons per cell: 0.00

=====

Entry 6:
Material: PrMgInCu
Method: DFT, PBE-GGA
State: relaxed Values from VASP.

Quantum ESPRESSO input file:
```
&SYSTEM
  ibrav = 0, nat = 4, ntyp = 4
/
ATOMIC_SPECIES
Pr 140.91 Pr.upf
Mg 24.30 Mg.upf
Cu 63.55 Cu.upf
In 114.82 In.upf
CELL_PARAMETERS angstrom
5.073 0.000 0.000
2.536 4.393 0.000
2.536 1.464 4.142
ATOMIC_POSITIONS angstrom
Pr 5.073 2.929 2.071
Mg 0.000 0.000 0.000
Cu 2.536 1.464 1.035
In 7.609 4.393 3.106
```

Energy relative to the elements, meV/atom: -251
Energy, eV for the cell shown: -14.2
Magnetization, Bohr magnetons per cell: 0.00

=====

Entry 7:
Material: PuMgInCu
Method: DFT, PBE-GGA
State: relaxed Values from VASP.

Quantum ESPRESSO input file:
```
&SYSTEM
  ibrav = 0, nat = 4, ntyp = 4
/
ATOMIC_SPECIES
Mg 24.30 Mg.upf
In 114.82 In.upf
Cu 63.55 Cu.upf
Pu 244.00 Pu.upf
CELL_PARAMETERS angstrom
-4.960 -0.030 0.564
-2.150 -3.355 3.006
-2.030 1.459 4.321
ATOMIC_POSITIONS angstrom
Mg -6.854 -1.445 5.919
In 0.000 0.000 0.000
Cu -4.569 -0.964 3.946
Pu -2.285 -0.482 1.973
```

Energy relative to the elements, meV/atom: -11
Energy, eV for the cell shown: -22.8
Magnetization, Bohr magnetons per cell: 5.54

=====

Entry 8:
Material: Mg3In3Cu2Rh
Method: DFT, PBE-GGA
State: relaxed Values from VASP.

Quantum ESPRESSO input file:
```
&SYSTEM
  ibrav = 0, nat = 9, ntyp = 4
/
ATOMIC_SPECIES
Mg 24.30 Mg.upf
In 114.82 In.upf
Cu 63.55 Cu.upf
Rh 102.91 Rh.upf
CELL_PARAMETERS angstrom
-1.049 -0.820 2.921
7.061 -2.629 1.798
-1.857 7.387 1.407
ATOMIC_POSITIONS angstrom
Mg 4.595 -2.316 2.764
Mg -1.871 4.946 2.481
Mg 0.906 0.898 2.342
In 3.253 2.974 2.003
In -0.696 2.770 0.528
In 2.647 -0.986 0.674
Cu 3.564 0.300 3.128
Cu 0.591 3.638 2.998
Rh 0.000 0.000 0.000
```

Energy relative to the elements, meV/atom: -166
Energy, eV for the cell shown: -30.0
Magnetization, Bohr magnetons per cell: 0.00